The following is a PBE calculation of a relaxed NaSr2HfS crystal, from Alexandria via LeMat-Bulk.

a = 6.325 Å, b = 4.605 Å, c = 6.325 Å
α = 90.00°, β = 90.00°, γ = 90.00°
Atoms (fractional coordinates):
Sr: 0.500 0.000 0.000
Hf: 0.500 0.500 0.500
S: 0.000 0.500 0.000
Sr: 0.000 0.000 0.500
Na: 0.000 0.000 0.000

Theoretical density: 3.7 g/cm3
Total moment: 2.270 μB/f.u.
Total energy: -0.2333 Ry/atom
Formation energy (no corrections): 0.578 eV per atom

***

The following is a PBE calculation of a relaxed K2TlTe crystal, from Alexandria via LeMat-Bulk.

a = 4.296 Å, b = 4.667 Å, c = 8.857 Å
α = 58.20°, β = 90.00°, γ = 90.00°
Atoms (fractional coordinates):
Te: 0.500 0.250 0.250
Tl: 0.500 0.750 0.750
K: 0.000 0.533 0.467
K: 0.000 0.967 0.033

Offset from the most stable computed form: 81 meV per atom
Theoretical density: 4.5 g/cm3
Total moment: 0.000 μB/f.u.
Total energy: -0.1783 Ry/atom
Formation energy (no corrections): -0.500 eV per atom

***

The following is a PBE calculation of a relaxed Cu3NiPd crystal, from Alexandria via LeMat-Bulk.

a = 4.495 Å, b = 5.222 Å, c = 6.840 Å
α = 111.85°, β = 122.99°, γ = 74.05°
Atoms (fractional coordinates):
Ni: 0.416 0.548 0.813
Ni: 0.584 0.452 0.187
Cu: 0.585 0.947 0.189
Cu: 0.415 0.053 0.811
Cu: 0.202 0.646 0.395
Cu: 0.000 0.743 0.999
Pd: 0.183 0.157 0.399
Cu: 0.798 0.354 0.605
Cu: 0.000 0.257 0.001
Pd: 0.817 0.843 0.601

Offset from the most stable computed form: 0 meV per atom
Theoretical density: 9.5 g/cm3
Calculated formation energy: -34 meV per atom
Total moment: 0.000 μB/f.u.
Total energy: -0.3445 Ry/atom

***

The following is a PBE calculation of a relaxed Cu2SiB2Rh5 crystal, from Alexandria via LeMat-Bulk.

a = 2.836 Å, b = 9.271 Å, c = 9.271 Å
α = 90.00°, β = 90.00°, γ = 90.00°
Atoms (fractional coordinates):
Cu: 0.000 0.823 0.677
B: 0.000 0.128 0.628
B: 0.000 0.628 0.872
Rh: 0.500 0.430 0.292
B: 0.000 0.372 0.128
Si: 0.000 0.500 0.500
Si: 0.000 0.000 0.000
Rh: 0.500 0.208 0.070
Rh: 0.500 0.500 0.000
Rh: 0.500 0.292 0.570
Rh: 0.500 0.930 0.208
B: 0.000 0.872 0.372
Rh: 0.500 0.000 0.500
Cu: 0.000 0.177 0.323
Cu: 0.000 0.677 0.177
Rh: 0.500 0.792 0.930
Rh: 0.500 0.708 0.430
Cu: 0.000 0.323 0.823
Rh: 0.500 0.570 0.708
Rh: 0.500 0.070 0.792

Theoretical density: 9.4 g/cm3
Total moment: 0.000 μB/f.u.
Total energy: -0.4958 Ry/atom
Formation energy (no corrections): -0.373 eV per atom

***

The following is a PBE calculation of a relaxed ScSb2Pt9 crystal, from Alexandria via LeMat-Bulk.

a = 4.047 Å, b = 4.047 Å, c = 12.272 Å
α = 90.00°, β = 90.00°, γ = 90.00°
Atoms (fractional coordinates):
Pt: 0.500 0.000 0.838
Pt: 0.500 0.000 0.162
Pt: 0.000 0.500 0.838
Sb: 0.000 0.000 0.672
Pt: 0.500 0.500 0.000
Pt: 0.000 0.500 0.162
Pt: 0.500 0.500 0.667
Sb: 0.000 0.000 0.328
Pt: 0.000 0.500 0.500
Pt: 0.500 0.000 0.500
Sc: 0.000 0.000 0.000
Pt: 0.500 0.500 0.333

Theoretical density: 16.9 g/cm3
Total moment: 0.000 μB/f.u.
Total energy: -0.4571 Ry/atom
Formation energy (no corrections): -0.474 eV per atom

***

The following is a PBE calculation of a relaxed AlSb3Se crystal, from Alexandria via LeMat-Bulk.

a = 5.242 Å, b = 5.242 Å, c = 5.242 Å
α = 90.00°, β = 90.00°, γ = 90.00°
Atoms (fractional coordinates):
Sb: 0.000 0.500 0.000
Sb: 0.000 0.000 0.500
Se: 0.500 0.500 0.500
Sb: 0.500 0.000 0.000
Al: 0.000 0.000 0.000

Offset from the most stable computed form: 0 meV per atom
Theoretical density: 5.4 g/cm3
Total moment: 0.000 μB/f.u.
Total energy: -0.2428 Ry/atom
Formation energy (no corrections): 0.616 eV per atom

***

The following is a PBE calculation of a relaxed Mg2SnAuSe4 crystal, from Alexandria via LeMat-Bulk.

a = 6.179 Å, b = 6.179 Å, c = 7.440 Å
α = 114.50°, β = 114.50°, γ = 90.07°
Atoms (fractional coordinates):
Au: 0.999 0.999 0.999
Se: 0.890 0.372 0.262
Mg: 0.750 0.250 0.500
Mg: 0.250 0.750 0.500
Sn: 0.501 0.501 0.001
Se: 0.372 0.890 0.262
Se: 0.111 0.111 0.738
Se: 0.627 0.627 0.738

Theoretical density: 4.9 g/cm3
Total moment: 0.000 μB/f.u.
Total energy: -0.2718 Ry/atom
Formation energy (no corrections): -0.647 eV per atom

***

The following is a PBE calculation of a relaxed VTcSbCl2 crystal, from Alexandria via LeMat-Bulk.

a = 4.619 Å, b = 5.018 Å, c = 4.619 Å
α = 90.00°, β = 90.00°, γ = 90.00°
Atoms (fractional coordinates):
Sb: 0.500 0.500 0.500
Tc: 0.000 0.000 0.000
V: 0.000 0.500 0.000
Cl: 0.000 0.000 0.500
Cl: 0.500 0.000 0.000

Theoretical density: 5.3 g/cm3
Total moment: 0.035 μB/f.u.
Total energy: -0.3555 Ry/atom
Formation energy (no corrections): 0.623 eV per atom

***

Q: The highest total moment belongs to which entry?
A: NaSr2HfS

***

Q: The highest total moment belongs to which entry?
A: NaSr2HfS

***

Q: Which value of total energy does entry 8 give?
A: -0.3555 Ry/atom